(1)
Computed, not measured: a relaxed PmTmAs crystal at the PBE level of DFT.

Summary:
Magnetic moment (Bohr magnetons per cell): 1.0
Energy relative to the lowest polymorph listed for this composition (eV per atom): 0.105
Crystal system: tetragonal
Formation energy from the elements (eV per atom): -0.7237
V (Å³/f.u.): 79.1
Space group: I4mm (107)

Structure (POSCAR):
```
PmTmAs
1.0
3.731 0.000 0.000
0.000 3.731 0.000
-1.866 -1.866 5.684
As Tm Pm
1 1 1
direct
0.630 0.630 0.259 As
0.252 0.252 0.505 Tm
0.968 0.968 0.936 Pm
```


(2)
Computed, not measured: a relaxed Pm3TmAs4 crystal at the PBE level of DFT.

Summary:
Magnetic moment (Bohr magnetons per cell): 0.0
Energy relative to the lowest polymorph listed for this composition (eV per atom): 0.005
Crystal system: cubic
Formation energy from the elements (eV per atom): -1.5079
V (Å³/f.u.): 209.0
Space group: Pm-3m (221)

Structure (POSCAR):
```
Pm3TmAs4
1.0
-1.491 2.880 -4.969
4.655 -2.402 -2.789
-3.365 -4.599 -1.656
Pm As Tm
3 4 1
direct
0.500 0.000 0.500 Pm
0.000 0.500 0.500 Pm
0.500 0.500 0.000 Pm
0.500 0.500 0.500 As
0.000 0.500 0.000 As
0.500 0.000 0.000 As
0.000 0.000 0.500 As
0.000 0.000 0.000 Tm
```


(3)
Computed, not measured: a relaxed PmTm5As6 crystal at the PBE level of DFT.

Summary:
Magnetic moment (Bohr magnetons per cell): 0.0
Crystal system: monoclinic
Formation energy from the elements (eV per atom): -1.5017
V (Å³/f.u.): 291.1
Space group: C2/m (12)

Structure (POSCAR):
```
PmTm5As6
1.0
-2.132 3.721 -5.647
-4.791 -2.899 4.351
2.278 5.303 4.117
As Tm Pm
6 5 1
direct
0.915 0.576 0.746 As
0.085 0.424 0.254 As
0.745 0.745 0.253 As
0.255 0.255 0.747 As
0.424 0.085 0.254 As
0.576 0.915 0.746 As
0.333 0.667 0.000 Tm
0.165 0.835 0.500 Tm
0.667 0.333 0.000 Tm
0.500 0.500 0.500 Tm
0.835 0.165 0.500 Tm
0.000 0.000 0.000 Pm
```


(4)
Computed, not measured: a relaxed Pm4TmAs5 crystal at the PBE level of DFT.

Summary:
Magnetic moment (Bohr magnetons per cell): 0.0
Crystal system: tetragonal
Formation energy from the elements (eV per atom): -1.5139
V (Å³/f.u.): 263.1
Space group: I4/m (87)

Structure (POSCAR):
```
Pm4TmAs5
1.0
1.534 -5.716 -0.632
4.885 -1.206 -5.267
5.697 -2.019 4.065
As Pm Tm
5 4 1
direct
0.099 0.607 0.196 As
0.296 0.804 0.607 As
0.903 0.393 0.804 As
0.501 0.000 0.000 As
0.707 0.196 0.393 As
0.403 0.398 0.799 Pm
0.599 0.602 0.201 Pm
0.201 0.201 0.398 Pm
0.801 0.799 0.602 Pm
0.001 0.000 0.000 Tm
```


(5)
Computed, not measured: a relaxed PmTm4As5 crystal at the PBE level of DFT.

Summary:
Magnetic moment (Bohr magnetons per cell): 0.0
Crystal system: monoclinic
Formation energy from the elements (eV per atom): -1.5023
V (Å³/f.u.): 243.6
Space group: C2/m (12)

Structure (POSCAR):
```
PmTm4As5
1.0
3.999 0.000 0.913
1.687 6.647 1.823
0.010 0.005 9.167
Pm Tm As
1 4 5
direct
0.000 0.000 0.000 Pm
0.799 0.605 0.797 Tm
0.598 0.203 0.601 Tm
0.402 0.797 0.399 Tm
0.201 0.395 0.203 Tm
0.396 0.312 0.897 As
0.202 0.901 0.694 As
0.798 0.099 0.306 As
0.000 0.500 0.500 As
0.604 0.688 0.103 As
```


(6)
Computed, not measured: a relaxed PmTmAs crystal at the PBE level of DFT.

Summary:
Magnetic moment (Bohr magnetons per cell): 1.0
Energy relative to the lowest polymorph listed for this composition (eV per atom): 0.000
Crystal system: trigonal
Formation energy from the elements (eV per atom): -0.8285
V (Å³/f.u.): 90.1
Space group: P3m1 (156)

Structure (POSCAR):
```
PmTmAs
1.0
6.544 0.000 0.000
0.000 3.988 0.000
0.000 -1.994 3.453
Pm As Tm
1 1 1
direct
0.735 0.667 0.333 Pm
0.009 0.000 0.000 As
0.256 0.333 0.667 Tm
```